1.
Computed, not measured: Ni2Pt after structural relaxation at the PBE level of DFT.

a = 11.4385 Å, b = 11.4385 Å, c = 11.4385 Å
α = 161.41°, β = 161.41°, γ = 26.41°
Last column: nearest neighbours and their distance in Å.
Element x y z (fractional)
Ni: 0.5815 0.5815 0.0000  6 Ni 2.59-2.68, 6 Pt 2.61-2.69
Ni: 0.9997 0.4997 0.5000  4 Pt 2.57-2.58, 8 Ni 2.59-2.61
Ni: 0.5003 0.0003 0.5000  4 Pt 2.57-2.58, 8 Ni 2.59-2.61
Ni: 0.7497 0.7497 0.0000  4 Pt 2.57-2.58, 8 Ni 2.59-2.61
Ni: 0.4185 0.4185 0.0000  6 Ni 2.59-2.68, 6 Pt 2.61-2.69
Ni: 0.2503 0.2503 0.0000  4 Pt 2.57-2.58, 8 Ni 2.59-2.61
Ni: 0.8315 0.3315 0.5000  6 Ni 2.59-2.68, 6 Pt 2.61-2.69
Ni: 0.6685 0.1685 0.5000  6 Ni 2.59-2.68, 6 Pt 2.61-2.69
Pt: 0.3306 0.8306 0.5000  10 Ni 2.57-2.69, 2 Pt 2.71
Pt: 0.9194 0.9194 0.0000  10 Ni 2.57-2.69, 2 Pt 2.71
Pt: 0.0806 0.0806 0.0000  10 Ni 2.57-2.69, 2 Pt 2.71
Pt: 0.1694 0.6694 0.5000  10 Ni 2.57-2.69, 2 Pt 2.71

Results
ΔE_f: -8 kJ per mole of atoms

***

2.
Computed, not measured: Li3In2Ag3Hg after structural relaxation at the PBE level of DFT.

a = 3.0073 Å, b = 8.0598 Å, c = 8.0598 Å
α = 120.00°, β = 90.00°, γ = 90.00°
Last column: nearest neighbours and their distance in Å.
Element x y z (fractional)
Ag: 0.0000 0.6340 0.6340  1 Hg 2.95, 4 In 2.97, 2 Ag 3.01, 6 Li 3.10-3.12
Ag: 0.0000 0.3660 0.0000  1 Hg 2.95, 4 In 2.97, 2 Ag 3.01, 6 Li 3.10-3.12
Ag: 0.0000 0.0000 0.3660  1 Hg 2.95, 4 In 2.97, 2 Ag 3.01, 6 Li 3.10-3.12
In: 0.5000 0.3333 0.6667  3 Li 2.85, 6 Ag 2.97, 2 In 3.01
In: 0.5000 0.6667 0.3333  3 Li 2.85, 6 Ag 2.97, 2 In 3.01
Li: 0.5000 0.2955 0.2955  2 Hg 2.82, 2 In 2.85, 2 Li 3.01, 6 Ag 3.10-3.12
Li: 0.5000 0.0000 0.7045  2 Hg 2.82, 2 In 2.85, 2 Li 3.01, 6 Ag 3.10-3.12
Li: 0.5000 0.7045 0.0000  2 Hg 2.82, 2 In 2.85, 2 Li 3.01, 6 Ag 3.10-3.12
Hg: 0.0000 0.0000 0.0000  6 Li 2.82, 3 Ag 2.95, 2 Hg 3.01

Results
ΔE_f: -20 kJ per mole of atoms

***

3.
Computed, not measured: HoHgRh after structural relaxation at the PBE level of DFT.

a = 3.8421 Å, b = 6.9565 Å, c = 5.4596 Å
α = 74.59°, β = 69.40°, γ = 73.97°
Last column: nearest neighbours and their distance in Å.
Element x y z (fractional)
Rh: 0.8548 0.6574 0.6330  1 Rh 2.71, 3 Hg 2.80-3.00, 5 Ho 2.88-2.94
Rh: 0.1452 0.3426 0.3670  1 Rh 2.71, 3 Hg 2.80-3.00, 5 Ho 2.88-2.94
Hg: 0.1632 0.9368 0.7369  3 Rh 2.80-3.00, 3 Hg 2.97-3.08
Hg: 0.8368 0.0632 0.2631  3 Rh 2.80-3.00, 3 Hg 2.97-3.08
Ho: 0.5703 0.6638 0.1956  5 Rh 2.88-2.94
Ho: 0.4297 0.3362 0.8044  5 Rh 2.88-2.94

Results
ΔE_f: -56 kJ per mole of atoms

***

4.
Computed, not measured: Y3Ga2H after structural relaxation at the PBE level of DFT.

a = 6.0612 Å, b = 8.0910 Å, c = 6.3543 Å
α = 101.51°, β = 118.49°, γ = 90.00°
Last column: nearest neighbours and their distance in Å.
Element x y z (fractional)
Ga: 0.7926 0.5122 0.3171  1 Ga 2.52
Ga: 0.5246 0.0122 0.3171  1 Ga 2.52
Ga: 0.2074 0.4878 0.6829  1 Ga 2.52
Ga: 0.4754 0.9878 0.6829  1 Ga 2.52
Y: 0.0255 0.1524 0.2955  1 H 2.19
Y: 0.9745 0.8476 0.7045  1 H 2.19
Y: 0.7300 0.3476 0.7045  1 H 2.19
Y: 0.3814 0.2500 0.0000  1 H 2.13
Y: 0.6186 0.7500 0.0000  1 H 2.13
Y: 0.2700 0.6524 0.2955  1 H 2.19
H: 0.0293 0.2500 0.0000  3 Y 2.13-2.19
H: 0.9707 0.7500 0.0000  3 Y 2.13-2.19

***

| no. | E_tot (eV per atom) | total magnetic moment (μB/cell) |
| --- | --- | --- |
| 1 | -5.947 | 7.62 |
| 2 | -2.436 | 0.00 |
| 3 | -4.654 | 0.00 |
| 4 | -5.328 | 0.00 |